[1]
A plane-wave DFT calculation with PBE-GGA was carried out for PuAgRh after structural relaxation.

Unit cell a=4.7435 b=4.7435 c=3.0247 alpha=90.00 beta=90.00 gamma=120.00
Space group P3m1 (No. 156)
Inequivalent atoms, fractional coordinates:
Pu 0.0000 0.0000 0.0000
Ag 0.3333 0.6667 0.5323
Rh 0.6667 0.3333 0.4090

Values from the calculation:
Total energy in eV/atom: -8.236
ρ in Mg/m³: 12.8
Total magnetic moment in μB/atom: 1.73
Formation energy from the elements in eV/atom: -0.057

---

[2]
A plane-wave DFT calculation with PBE-GGA was carried out for Pu2AgRh after structural relaxation.

Unit cell a=5.362 b=5.362 c=3.029 alpha=90.00 beta=90.00 gamma=90.00
Space group P4/mmm (No. 123)
Inequivalent atoms, fractional coordinates:
Pu 0.000 0.500 0.000
Ag 0.000 0.000 0.500
Rh 0.500 0.500 0.500

Values from the calculation:
Total energy in eV/atom: -9.809
ρ in Mg/m³: 13.3
Total magnetic moment in μB/atom: 2.84
Formation energy from the elements in eV/atom: -0.092

---

[3]
A plane-wave DFT calculation with PBE-GGA was carried out for Pu2AgRh2 after structural relaxation.

Unit cell a=7.419 b=7.419 c=3.751 alpha=90.00 beta=90.00 gamma=90.00
Space group P4/mbm (No. 127)
Inequivalent atoms, fractional coordinates:
Pu 0.168 0.332 0.000
Ag 0.000 0.000 0.500
Rh 0.137 0.637 0.500

Values from the calculation:
Total energy in eV/atom: -9.595
ρ in Mg/m³: 12.9
Total magnetic moment in μB/atom: 2.06
Formation energy from the elements in eV/atom: -0.352

---

[4]
A plane-wave DFT calculation with PBE-GGA was carried out for Pu12AgRh7 after structural relaxation.

Unit cell a=10.203 b=10.203 c=10.203 alpha=90.00 beta=90.00 gamma=90.00
Space group Im-3 (No. 204)
Inequivalent atoms, fractional coordinates:
Pu 0.000 0.313 0.188
Ag 0.000 0.000 0.000
Rh 0.000 0.000 0.500
Rh 0.250 0.250 0.250

Values from the calculation:
Total energy in eV/atom: -11.379
ρ in Mg/m³: 11.7
Total magnetic moment in μB/atom: 3.24
Formation energy from the elements in eV/atom: -0.065

---

[5]
A plane-wave DFT calculation with PBE-GGA was carried out for PuAgRh after structural relaxation.

Unit cell a=3.607 b=3.950 c=8.937 alpha=90.00 beta=101.53 gamma=90.00
Space group P2_1/m (No. 11)
Inequivalent atoms, fractional coordinates:
Pu 0.095 0.250 0.192
Ag 0.283 0.250 0.567
Rh 0.445 0.250 0.888

Values from the calculation:
Total energy in eV/atom: -8.432
ρ in Mg/m³: 12.1
Total magnetic moment in μB/atom: 1.65
Formation energy from the elements in eV/atom: -0.253

---

[6]
A plane-wave DFT calculation with PBE-GGA was carried out for Pu6AgRh5 after structural relaxation.

Unit cell a=15.997 b=4.856 c=7.006 alpha=90.00 beta=114.37 gamma=90.00
Space group C2/m (No. 12)
Inequivalent atoms, fractional coordinates:
Pu 0.015 0.000 0.250
Pu 0.172 0.500 0.932
Pu 0.192 0.500 0.434
Ag 0.000 0.500 0.500
Rh 0.000 0.500 0.000
Rh 0.145 0.000 0.674
Rh 0.155 0.000 0.127

Values from the calculation:
Total energy in eV/atom: -10.762
ρ in Mg/m³: 14.0
Total magnetic moment in μB/atom: 0.76
Formation energy from the elements in eV/atom: -0.296